This record from the Alexandria database describes an optimized crystal structure of Ba2CaTa. The functional is GGA-PBEsol.

```
Ba2CaTa
1.0
3.444 0.000 0.000
0.000 3.444 0.000
0.000 0.000 11.700
Ba Ta Ca
2 1 1
Cartesian
0.000 0.000 11.104
1.722 1.722 3.030
1.722 1.722 8.640
0.000 0.000 6.474
```

Values from the calculation:
- V (Å³ per atom) = 34.692
- theoretical density (Mg/m³) = 5.932
- total magnetic moment (μB per formula unit) = 0.0
- E_form (eV/atom) = 0.767
- space group = P4mm